The following is a PBE calculation of an optimized crystal structure of LiBe, from Alexandria.

Cell lengths 4.7378, 4.7378, 7.7993 Å; angles 90.00, 90.00, 90.00 degrees
Atoms (fractional coordinates):
1 Li 0.0692 0.1831 0.3576
2 Li 0.1831 0.0692 0.6424
3 Li 0.3169 0.5692 0.6076
4 Li 0.4308 0.6831 0.8924
5 Li 0.5692 0.3169 0.3924
6 Li 0.6831 0.4308 0.1076
7 Li 0.8169 0.9308 0.1424
8 Li 0.9308 0.8169 0.8576
9 Be 0.0598 0.3172 0.9163
10 Be 0.1829 0.5598 0.1663
11 Be 0.3172 0.0598 0.0837
12 Be 0.4402 0.8172 0.3337
13 Be 0.5598 0.1829 0.8337
14 Be 0.6828 0.9402 0.5837
15 Be 0.8172 0.4402 0.6663
16 Be 0.9402 0.6828 0.4163

Computed properties:
The value obtained for the energy of formation from the pure elements is 0.19 eV/atom. As for the space group: P4_12_12. For the final energy, the calculation gives -2.6307 eV/atom. For the excess energy over the best structure of this formula in the dataset, the calculation gives 0.0600 eV/atom. For the density of states at the Fermi level, the calculation gives 1.51 states/eV per cell.